Compound: PmTcGe
Source: Alexandria via LeMat-Bulk
Functional: PBE-GGA
Structure: optimized geometry

Properties
Energy relative to the lowest polymorph listed for this composition ... 0.0 meV/atom
SG ... P4/nmm
Calculated formation energy ... -0.46 eV/atom

Lattice parameters (Å, degrees): 4.3210 4.3210 6.8990 90.00 90.00 90.00
Sites, in units of the cell vectors:
Pm (0.2500, 0.2500, 0.1847)
Pm (0.7500, 0.7500, 0.8153)
Tc (0.2500, 0.7500, 0.5000)
Tc (0.7500, 0.2500, 0.5000)
Ge (0.2500, 0.2500, 0.7008)
Ge (0.7500, 0.7500, 0.2992)